(1)
First-principles (PBE) data for BaSiB after structural relaxation, as listed in the Alexandria database.

```
BaSiB
1.0
6.3223 0.0000 0.0000
-3.1612 5.4753 0.0000
0.0000 0.0000 6.3329
Ba Si B
3 3 3
direct
0.0000 0.6191 0.3333
0.3809 0.3809 0.0000
0.6191 0.0000 0.6667
0.0000 0.7038 0.8333
0.2962 0.2962 0.5000
0.7038 0.0000 0.1667
0.0000 0.0804 0.3333
0.0804 0.0000 0.6667
0.9196 0.9196 0.0000
```

Values from the calculation:
- energy above the most stable polymorph in this dataset (eV per formula unit) = 0.00
- raw formation energy (eV per atom) = 0.045
- symmetry = No. 154
- calculated total energy (eV/atom) = -4.63



(2)
First-principles (PBE) data for HfMgIn after structural relaxation, as listed in the Alexandria database.

```
HfMgIn
1.0
-1.5334 1.5334 14.6499
1.5334 -1.5334 14.6499
1.5334 1.5334 -14.6499
Hf Mg In
2 2 2
direct
0.0511 0.0511 0.0000
0.9489 0.9489 0.0000
0.2089 0.2089 0.0000
0.7911 0.7911 0.0000
0.3713 0.3713 0.0000
0.6287 0.6287 0.0000
```

Values from the calculation:
- symmetry = No. 139
- energy of formation from the pure elements (meV per atom) = 146
- calculated total energy (eV/atom) = -4.62



(3)
First-principles (PBE) data for Sr2CoRe after structural relaxation, as listed in the Alexandria database.

```
Sr2CoRe
1.0
2.9241 0.0000 0.0000
0.0000 3.4227 0.0000
0.0000 0.0000 9.1254
Sr Co Re
2 1 1
direct
0.0000 0.0000 0.2423
0.0000 0.0000 0.7577
0.5000 0.5000 0.0000
0.5000 0.5000 0.5000
```

Values from the calculation:
- energy above the most stable polymorph in this dataset (eV per formula unit) = 2.18
- symmetry = No. 47
- energy of formation from the pure elements (meV per atom) = 1136
- calculated total energy (eV/atom) = -4.59